Computed, not measured: a relaxed structure of B2NCl at the PBE-GGA level of DFT.

Unit cell a=3.7279 b=3.7279 c=3.7279 alpha=60.00 beta=60.00 gamma=60.00
Closest atoms and distances in Å follow each position.
Positions (direct):
1 B 0.2500 0.2500 0.2500  4 Cl 2.28, 4 N 2.28
2 B 0.7500 0.7500 0.7500  4 Cl 2.28, 4 N 2.28
3 N 0.0000 0.0000 0.0000  8 B 2.28
4 Cl 0.5000 0.5000 0.5000  8 B 2.28

Calculated values
Theoretical density   3.22 g/cm3
Total energy   -3.234 eV/atom
ΔE to the lowest computed polymorph   714.4 kJ/mol of formula units
Uncorrected formation energy   2.648 eV per atom
N(E_F)   0.379 states/eV per atom